# 1
Compound: PPt3
Source: the Alexandria database
Functional: PBE-GGA
Structure: relaxed

The structure in CIF format:
```
data_PPt3
_chemical_formula_sum 'P1 Pt3'
_cell_length_a 4.712
_cell_length_b 4.712
_cell_length_c 2.790
_cell_angle_alpha 90.00
_cell_angle_beta 90.00
_cell_angle_gamma 90.00
_space_group_name_H-M_alt 'P 4/m m m'
_space_group_IT_number 123
_space_group_name_Hall '-P 4 2'
loop_
_atom_site_label
_atom_site_type_symbol
_atom_site_fract_x
_atom_site_fract_y
_atom_site_fract_z
P1 P 0.000 0.000 0.000
Pt1 Pt 0.000 0.500 0.500
Pt2 Pt 0.500 0.500 0.000
```

Values from the calculation:
The offset from the most stable computed form is 0.316 eV/atom.

=====

# 2
Compound: NaLiInGa
Source: the Alexandria database
Functional: PBE-GGA
Structure: relaxed

The structure in CIF format:
```
data_NaLiInGa
_chemical_formula_sum 'Na4 Li4 In4 Ga4'
_cell_length_a 6.926
_cell_length_b 6.926
_cell_length_c 6.926
_cell_angle_alpha 90.00
_cell_angle_beta 90.00
_cell_angle_gamma 90.00
_space_group_name_H-M_alt 'F -4 3 m'
_space_group_IT_number 216
_space_group_name_Hall 'F -4 2 3'
loop_
_atom_site_label
_atom_site_type_symbol
_atom_site_fract_x
_atom_site_fract_y
_atom_site_fract_z
Na1 Na 0.000 0.000 0.000
Li1 Li 0.250 0.250 0.750
In1 In 0.000 0.000 0.500
Ga1 Ga 0.250 0.250 0.250
```

=====

| no. | formation energy (meV per atom) |
| --- | --- |
| 1 | 67 |
| 2 | -154 |